First-principles (GGA+U) data for a relaxed structure of AcMn2GeO8, as listed in Alexandria via LeMat-Bulk.

Lattice parameters (Å, degrees): 5.1991 5.1991 6.9754 90.00 90.00 120.00
Positions (direct):
Ac1 0.0000 0.0000 0.0000
Mn1 0.3333 0.6667 0.7190
Mn2 0.6667 0.3333 0.2810
Ge1 0.0000 0.0000 0.5000
O1 0.0356 0.2990 0.6727
O2 0.2633 0.9644 0.6727
O3 0.2990 0.2633 0.3273
O4 0.3333 0.6667 0.9654
O5 0.6667 0.3333 0.0346
O6 0.7010 0.7367 0.6727
O7 0.7367 0.0356 0.3273
O8 0.9644 0.7010 0.3273

Computed properties:
The value obtained for the density of states at the Fermi level is 4.5 states/eV/cell. The value obtained for the energy is -6.849 eV/atom. The value obtained for the magnetic moment is 5.00 μB/cell.